# 1
VASP calculation (GGA-PBE) on a relaxed structure of GaAg3Au2.

Summary:
DOS at the Fermi energy	1.46	states/eV/f.u.
energy of formation from the pure elements	0.6	kcal/mol of atoms
excess energy over the best structure of this formula in the dataset	0.036	eV/atom

Unit cell a=8.442 b=9.731 c=5.443 alpha=90.00 beta=90.10 gamma=90.00
Space group C2/c (No. 15)
One atom of each set of equivalent atoms:
Ga 0.000 0.011 0.250 x4
Ag 0.000 0.274 0.750 x4
Ag 0.179 0.500 0.000 x8
Au 0.170 0.240 0.249 x8

# 2
VASP calculation (GGA-PBE) on a relaxed structure of GaAgAu14.

Summary:
DOS at the Fermi energy	5.18	states/eV/f.u.
energy of formation from the pure elements	-0.4	kcal/mol of atoms

Unit cell a=9.534 b=5.928 c=10.197 alpha=90.00 beta=90.00 gamma=90.00
Space group Amm2 (No. 38)
One atom of each set of equivalent atoms:
Ga 0.000 0.000 0.000 x2
Ag 0.000 0.000 0.497 x2
Au 0.000 0.249 0.247 x4
Au 0.246 0.000 0.832 x4
Au 0.247 0.249 0.080 x8
Au 0.251 0.000 0.331 x4
Au 0.500 0.000 0.163 x2
Au 0.500 0.000 0.663 x2
Au 0.500 0.249 0.914 x4

# 3
VASP calculation (GGA-PBE) on a relaxed structure of Ga12Ag6Au.

Summary:
DOS at the Fermi energy	7.81	states/eV/f.u.
energy of formation from the pure elements	0.5	kcal/mol of atoms

Unit cell a=10.8190 b=10.8190 c=10.9772 alpha=90.00 beta=90.00 gamma=120.00
Space group R-3 (No. 148, hexagonal axes)
One atom of each set of equivalent atoms:
Ga 0.0408 0.2526 0.4325 x18
Ga 0.0543 0.2547 0.9429 x18
Ag 0.0375 0.1745 0.1950 x18
Au 0.0000 0.0000 0.5000 x3